Record 1
Material: LiFeAgOs
Method: DFT, GGA-PBE
State: relaxed

Unit cell a=6.011 b=6.011 c=6.011 alpha=90.00 beta=90.00 gamma=90.00
Space group F-43m (No. 216)
Asymmetric unit:
Li1 0.000 0.000 0.000 (multiplicity 4)
Fe1 0.000 0.000 0.500 (multiplicity 4)
Ag1 0.250 0.250 0.250 (multiplicity 4)
Os1 0.250 0.250 0.750 (multiplicity 4)

E above lowest polymorph, meV per atom: 0.0



Record 2
Material: LiFeAgSe2S
Method: DFT, GGA-PBE
State: relaxed

Unit cell a=3.609 b=12.230 c=10.199 alpha=90.00 beta=90.00 gamma=90.00
Space group Cmcm (No. 63)
Asymmetric unit:
Li1 0.000 0.199 0.250 (multiplicity 4)
Fe1 0.000 0.500 0.000 (multiplicity 4)
Ag1 0.000 0.098 0.750 (multiplicity 4)
Se1 0.000 0.138 0.508 (multiplicity 8)
S1 0.000 0.441 0.750 (multiplicity 4)

Final energy, eV for the cell shown: -102.5



Record 3
Material: LiFeAgTe2S
Method: DFT, GGA-PBE
State: relaxed

Unit cell a=12.985 b=3.851 c=11.263 alpha=90.00 beta=98.87 gamma=90.00
Space group C2/m (No. 12)
Asymmetric unit:
Li1 0.160 0.000 0.248 (multiplicity 4)
Fe1 0.000 0.500 0.000 (multiplicity 2)
Fe2 0.000 0.500 0.500 (multiplicity 2)
Ag1 0.078 0.000 0.735 (multiplicity 4)
Te1 0.138 0.000 0.514 (multiplicity 4)
Te2 0.154 0.000 0.982 (multiplicity 4)
S1 0.049 0.500 0.201 (multiplicity 4)

Final energy, eV for the cell shown: -98.5



Record 4
Material: LiFeAgSb
Method: DFT, GGA-PBE
State: relaxed

Unit cell a=6.356 b=6.356 c=6.356 alpha=90.00 beta=90.00 gamma=90.00
Space group F-43m (No. 216)
Asymmetric unit:
Li1 0.000 0.000 0.000 (multiplicity 4)
Fe1 0.000 0.000 0.500 (multiplicity 4)
Ag1 0.250 0.250 0.750 (multiplicity 4)
Sb1 0.250 0.250 0.250 (multiplicity 4)

E above lowest polymorph, meV per atom: 0.0



Record 5
Material: LiFeAgSe3
Method: DFT, GGA-PBE
State: relaxed

Unit cell a=3.503 b=12.878 c=10.226 alpha=90.00 beta=90.00 gamma=90.00
Space group Cmcm (No. 63)
Asymmetric unit:
Li1 0.000 0.219 0.250 (multiplicity 4)
Fe1 0.000 0.500 0.000 (multiplicity 4)
Ag1 0.000 0.102 0.750 (multiplicity 4)
Se1 0.000 0.134 0.507 (multiplicity 8)
Se2 0.000 0.434 0.750 (multiplicity 4)

Final energy, eV for the cell shown: -100.1



Record 6
Material: LiFeAgTe2Se
Method: DFT, GGA-PBE
State: relaxed

Unit cell a=3.881 b=12.864 c=10.658 alpha=90.00 beta=90.00 gamma=90.00
Space group Cmcm (No. 63)
Asymmetric unit:
Li1 0.000 0.222 0.250 (multiplicity 4)
Fe1 0.000 0.500 0.000 (multiplicity 4)
Ag1 0.000 0.083 0.750 (multiplicity 4)
Te1 0.000 0.141 0.508 (multiplicity 8)
Se1 0.000 0.434 0.750 (multiplicity 4)

Final energy, eV for the cell shown: -94.9



Record 7
Material: Li4FeAgSn2
Method: DFT, GGA-PBE
State: relaxed

Unit cell a=4.477 b=4.477 c=6.502 alpha=90.00 beta=90.00 gamma=90.00
Space group P-4m2 (No. 115)
Asymmetric unit:
Li1 0.000 0.000 0.000 (multiplicity 1)
Li2 0.000 0.500 0.243 (multiplicity 2)
Li3 0.500 0.500 0.500 (multiplicity 1)
Fe1 0.500 0.500 0.000 (multiplicity 1)
Ag1 0.000 0.000 0.500 (multiplicity 1)
Sn1 0.000 0.500 0.772 (multiplicity 2)

Final energy, eV for the cell shown: -28.7



Record 8
Material: LiTlFeAg
Method: DFT, GGA-PBE
State: relaxed

Unit cell a=6.469 b=6.469 c=6.469 alpha=90.00 beta=90.00 gamma=90.00
Space group F-43m (No. 216)
Asymmetric unit:
Li1 0.000 0.000 0.000 (multiplicity 4)
Tl1 0.250 0.250 0.250 (multiplicity 4)
Fe1 0.000 0.000 0.500 (multiplicity 4)
Ag1 0.250 0.250 0.750 (multiplicity 4)

E above lowest polymorph, meV per atom: 0.0